The following is a DFT calculation (GGA-PBE) of an optimized crystal structure of Rb2MoSeN.

Output
M_tot = 5.14 μB per cell
crystal system = tetragonal
final energy = -3.675 eV/atom
space-group type = No. 123

Lattice parameters (Å, degrees): 6.7962 6.7962 3.9048 90.00 90.00 90.00
With the nearest neighbours (Å) after each atom.
Atoms (fractional coordinates):
Rb 0.0000 0.5000 0.0000  2 Se 3.40
Rb 0.5000 0.0000 0.0000  2 Se 3.40
Mo 0.0000 0.0000 0.5000  2 Mo 3.90, 8 Rb 3.92
Se 0.5000 0.5000 0.0000  2 N 1.95
N 0.5000 0.5000 0.5000  2 Se 1.95